# K3Fe8Se8

K3Fe8Se8 after structural relaxation (PBE, the Alexandria database).

Geometry as CIF:
```
data_K3Fe8Se8
_symmetry_space_group_name_H-M 'P -1'
_symmetry_Int_Tables_number 2
_cell_length_a 7.408
_cell_length_b 8.103
_cell_length_c 8.229
_cell_angle_alpha 95.71
_cell_angle_beta 116.74
_cell_angle_gamma 103.19
loop_
_symmetry_equiv_pos_as_xyz
'x,y,z'
'-x,-y,-z'
loop_
_atom_site_label
_atom_site_fract_x
_atom_site_fract_y
_atom_site_fract_z
K1 0.000 0.000 0.000
K2 0.266 0.000 0.532
Fe1 0.062 0.500 0.875
Fe2 0.188 0.501 0.626
Fe3 0.313 0.500 0.375
Fe4 0.438 0.502 0.125
Se1 0.016 0.714 0.679
Se2 0.231 0.286 0.822
Se3 0.266 0.714 0.178
Se4 0.480 0.286 0.321
```

***

# K3FeSe3

K3FeSe3 after structural relaxation (PBE, the Alexandria database).

Results
Energy relative to the lowest polymorph listed for this composition = 5.4 meV per atom

Geometry as CIF:
```
data_K3FeSe3
_symmetry_space_group_name_H-M 'P 1 21/c 1'
_symmetry_Int_Tables_number 14
_cell_length_a 8.113
_cell_length_b 13.119
_cell_length_c 10.635
_cell_angle_alpha 90.00
_cell_angle_beta 128.41
_cell_angle_gamma 90.00
loop_
_symmetry_equiv_pos_as_xyz
'x,y,z'
'-x,-y,-z'
'-x,y+1/2,-z+1/2'
'x,-y+1/2,z+1/2'
loop_
_atom_site_label
_atom_site_fract_x
_atom_site_fract_y
_atom_site_fract_z
K1 0.110 0.136 0.472
K2 0.148 0.065 0.900
K3 0.383 0.699 0.598
Fe1 0.440 0.052 0.353
Se1 0.143 0.164 0.187
Se2 0.351 0.617 0.877
Se3 0.374 0.540 0.252
```

***

# KFeSe4

KFeSe4 after structural relaxation (PBE, the Alexandria database).

Geometry as CIF:
```
data_KFeSe4
_symmetry_space_group_name_H-M 'F -4 3 m'
_symmetry_Int_Tables_number 216
_symmetry_space_group_name_Hall 'F -4 2 3'
_cell_length_a 8.285
_cell_length_b 8.285
_cell_length_c 8.285
_cell_angle_alpha 90.00
_cell_angle_beta 90.00
_cell_angle_gamma 90.00
loop_
_atom_site_label
_atom_site_fract_x
_atom_site_fract_y
_atom_site_fract_z
K1 0.000 0.000 0.000
Fe1 0.250 0.250 0.250
Se1 0.124 0.124 0.624
```

***

Q: Which E_form (uncorrected) values were calculated for the entries above? A: -451; -885; 439, in meV/atom.